# 1
{
  "formula": "VCr2Ag2Se6",
  "functional": "PBE",
  "state": "relaxed",
  "magnetic_moment_mub_per_fu": 0.791,
  "spacegroup": "C2/m",
  "crystal_system": "monoclinic",
  "lattice": [[2.888, -5.258, 0.000], [2.888, 5.258, 0.000], [-2.474, 0.000, 7.717]],
  "species": ["V", "Cr", "Cr", "Ag", "Ag", "Se", "Se", "Se", "Se", "Se", "Se"],
  "fractional_positions": [[0.000, 0.000, 0.000], [0.375, 0.625, 0.000], [0.625, 0.375, 0.000], [0.185, 0.815, 0.500], [0.815, 0.185, 0.500], [0.092, 0.730, 0.174], [0.270, 0.908, 0.826], [0.428, 0.428, 0.221], [0.572, 0.572, 0.779], [0.730, 0.092, 0.174], [0.908, 0.270, 0.826]]
}

---

# 2
{
  "formula": "RbHfI3",
  "functional": "PBE",
  "state": "relaxed",
  "magnetic_moment_mub_per_fu": 0.000,
  "spacegroup": "Pm-3m",
  "crystal_system": "cubic",
  "lattice": [[5.791, 0.000, 0.000], [0.000, 5.791, 0.000], [0.000, 0.000, 5.791]],
  "species": ["Rb", "Hf", "I", "I", "I"],
  "fractional_positions": [[0.000, 0.000, 0.000], [0.500, 0.500, 0.500], [0.000, 0.500, 0.500], [0.500, 0.000, 0.500], [0.500, 0.500, 0.000]]
}

---

| no. | DFT total energy (eV/atom) | E_form (uncorrected) (eV/atom) | volume (Å³ per atom) |
| --- | --- | --- | --- |
| 1 | -5.3647 | -0.367 | 21.305 |
| 2 | -3.7765 | -0.662 | 38.851 |